Cs2SrBiH: PBEsol geometry, meta-GGA SCAN.

Cell: 4.3735 7.6460 7.6460 Å, 90.00 90.00 90.00°
Fractional positions:
Sr 0.5000 0.5000 0.5000
Cs 0.0000 0.5000 0.0000
Cs 0.0000 0.0000 0.5000
Bi 0.0000 0.0000 0.0000
H 0.5000 0.0000 0.0000

* space group: P4/mmm (123)
* N(E_F): 1.5 states/eV/cell
* total energy: -35.71 eV per atom